Entry 1:
This record from Alexandria describes a geometry-optimized PrEr2In2 structure. The functional is PBE.

Lattice parameters (Å, degrees): 3.772 27.901 5.435 90.00 90.00 90.00
Space group Cmcm (No. 63)
One atom of each set of equivalent atoms:
Pr 0.000 0.148 0.250 [4 per cell]
Er 0.000 0.049 0.750 [4 per cell]
Er 0.000 0.236 0.750 [4 per cell]
In 0.000 0.357 0.250 [4 per cell]
In 0.000 0.454 0.750 [4 per cell]

Summary:
**Energy of formation from the pure elements**: -174.4 kJ/mol of formula units
**Crystal system**: orthorhombic
**Spin magnetization**: 0.0 μB/f.u.
**Total energy**: -84.76 eV for the cell shown

=====

Entry 2:
This record from Alexandria describes a geometry-optimized Pr15Er2In2 structure. The functional is PBE.

Lattice parameters (Å, degrees): 11.1009 11.1009 18.3803 90.00 90.00 120.00
Space group R-3m (No. 166, hexagonal axes)
One atom of each set of equivalent atoms:
Pr 0.0000 0.2900 0.0000 [18 per cell]
Pr 0.0000 0.5000 0.5000 [9 per cell]
Pr 0.0393 0.5197 0.1272 [18 per cell]
Er 0.0000 0.0000 0.3004 [6 per cell]
In 0.0000 0.0000 0.0965 [6 per cell]

Summary:
**Energy of formation from the pure elements**: 261.4 kJ/mol of formula units
**Crystal system**: trigonal
**Spin magnetization**: 0.0 μB/f.u.
**Total energy**: -250.76 eV for the cell shown

=====

Entry 3:
This record from Alexandria describes a geometry-optimized Pr12ErIn6 structure. The functional is PBE.

Lattice parameters (Å, degrees): 11.8376 11.8376 14.8349 90.00 90.00 120.00
Space group R-3 (No. 148, hexagonal axes)
One atom of each set of equivalent atoms:
Pr 0.0642 0.2194 0.4099 [18 per cell]
Pr 0.0677 0.8779 0.8070 [18 per cell]
Er 0.0000 0.0000 0.0000 [3 per cell]
In 0.0337 0.5907 0.7113 [18 per cell]

Summary:
**Energy of formation from the pure elements**: -442.5 kJ/mol of formula units
**Crystal system**: trigonal
**Spin magnetization**: 0.0 μB/f.u.
**Total energy**: -248.80 eV for the cell shown

=====

- energy of formation from the pure elements of number 2 (Pr15Er2In2)?
  261.4 kJ/mol of formula units